No. 1
Compound: BaLi2Tc
Source: the Alexandria database
Functional: GGA-PBEsol
Structure: relaxed

Results
Space-group type ... Pmm2
Theoretical density ... 4.7 g/cm3
Energy relative to the elements ... 680 meV/atom

abc: 2.9544 3.8068 7.8077
angles: 90.00 90.00 90.00
With the nearest neighbours (Å) after each atom.
Element x y z (fractional)
Ba 0.0000 0.0000 0.0000  2 Ba 2.95, 4 Tc 3.22
Li 0.0000 0.0000 0.5735  4 Tc 2.69, 6 Li 2.81-2.95
Li 0.5000 0.5000 0.3889  1 Tc 2.64, 6 Li 2.81-2.95
Tc 0.5000 0.5000 0.7270  5 Li 2.64-2.69, 2 Tc 2.95

=====

No. 2
Compound: BaLiTc
Source: the Alexandria database
Functional: GGA-PBEsol
Structure: relaxed

Results
Space-group type ... F-43m
Energy above the most stable polymorph in this dataset ... 661 meV/atom
Theoretical density ... 4.9 g/cm3
Energy relative to the elements ... 1573 meV/atom

abc: 6.8986 6.8986 6.8986
angles: 90.00 90.00 90.00
With the nearest neighbours (Å) after each atom.
Element x y z (fractional)
Ba 0.0000 0.0000 0.0000  4 Tc 2.99, 4 Li 2.99
Ba 0.0000 0.5000 0.5000  4 Tc 2.99, 4 Li 2.99
Ba 0.5000 0.0000 0.5000  4 Tc 2.99, 4 Li 2.99
Ba 0.5000 0.5000 0.0000  4 Tc 2.99, 4 Li 2.99
Li 0.2500 0.2500 0.2500  4 Ba 2.99
Li 0.2500 0.7500 0.7500  4 Ba 2.99
Li 0.7500 0.2500 0.7500  4 Ba 2.99
Li 0.7500 0.7500 0.2500  4 Ba 2.99
Tc 0.2500 0.2500 0.7500  4 Ba 2.99
Tc 0.2500 0.7500 0.2500  4 Ba 2.99
Tc 0.7500 0.2500 0.2500  4 Ba 2.99
Tc 0.7500 0.7500 0.7500  4 Ba 2.99

=====

No. 3
Compound: BaLiTc
Source: the Alexandria database
Functional: GGA-PBEsol
Structure: relaxed

Results
Space-group type ... P3m1
Energy above the most stable polymorph in this dataset ... 33 meV/atom
Theoretical density ... 6.2 g/cm3
Energy relative to the elements ... 946 meV/atom

abc: 5.0653 5.0653 2.9064
angles: 90.00 90.00 120.00
With the nearest neighbours (Å) after each atom.
Element x y z (fractional)
Ba 0.0000 0.0000 0.0000  2 Ba 2.91, 3 Li 3.10, 3 Tc 3.20
Li 0.3333 0.6667 0.3560  2 Li 2.91, 3 Tc 2.98, 3 Ba 3.10
Tc 0.6667 0.3333 0.5517  2 Tc 2.91, 3 Li 2.98, 3 Ba 3.20